# 1
A relaxed structure of Ta11Al4. Source: Alexandria, functional GGA-PBEsol.

a b c (Å): 9.9118 5.1479 9.9876
angles (deg): 90.00 90.47 90.00
With the nearest neighbours (Å) after each atom.
Fractional coordinates of all 30 atoms:
Ta  0.0363  0.0000  0.1263  2 Ta 2.62-2.78, 4 Al 2.77-2.81
Ta  0.1033  0.0000  0.3971  5 Ta 2.74-3.02, 4 Al 2.96-3.06
Ta  0.1282  0.5000  0.9640  2 Ta 2.65-2.75, 4 Al 2.77-2.81
Ta  0.1809  0.2497  0.6840  2 Ta 2.57-2.58, 3 Al 2.86
Ta  0.1809  0.7503  0.6840  2 Ta 2.57-2.58, 3 Al 2.86
Ta  0.2581  0.5000  0.4340  2 Al 2.65-2.73, 8 Ta 2.81-2.92
Ta  0.3183  0.2536  0.1794  2 Ta 2.54-2.61
Ta  0.3183  0.7464  0.1794  2 Ta 2.54-2.61
Ta  0.3719  0.0000  0.4625  4 Ta 2.64-2.82, 2 Al 2.81-2.82
Ta  0.3966  0.5000  0.8966  3 Ta 2.75-2.90, 6 Al 2.95-3.05
Ta  0.4636  0.5000  0.6299  4 Ta 2.70-2.84, 2 Al 2.81
Ta  0.5364  0.5000  0.3701  4 Ta 2.70-2.84, 2 Al 2.81
Ta  0.6034  0.5000  0.1034  3 Ta 2.75-2.90, 6 Al 2.95-3.05
Ta  0.6281  0.0000  0.5375  4 Ta 2.64-2.82, 2 Al 2.81-2.82
Ta  0.6817  0.2536  0.8206  2 Ta 2.54-2.61
Ta  0.6817  0.7464  0.8206  2 Ta 2.54-2.61
Ta  0.7419  0.5000  0.5660  2 Al 2.65-2.73, 8 Ta 2.81-2.92
Ta  0.8191  0.2497  0.3160  2 Ta 2.57-2.58, 3 Al 2.86
Ta  0.8191  0.7503  0.3160  2 Ta 2.57-2.58, 3 Al 2.86
Ta  0.8718  0.5000  0.0360  2 Ta 2.65-2.75, 4 Al 2.77-2.81
Ta  0.8967  0.0000  0.6029  5 Ta 2.74-3.02, 4 Al 2.96-3.06
Ta  0.9637  0.0000  0.8737  2 Ta 2.62-2.78, 4 Al 2.77-2.81
Al  0.0000  0.5000  0.5000  10 Ta 2.65-2.96, 2 Al 2.72
Al  0.0664  0.5000  0.2360  1 Al 2.72, 9 Ta 2.73-2.89
Al  0.2371  0.0000  0.9346  2 Al 2.68-2.76, 8 Ta 2.77-2.88
Al  0.4324  0.0000  0.7393  2 Al 2.68-2.76, 8 Ta 2.81-2.90
Al  0.5000  0.0000  0.0000  4 Al 2.68, 8 Ta 2.87-2.95
Al  0.5676  0.0000  0.2607  2 Al 2.68-2.76, 8 Ta 2.81-2.90
Al  0.7629  0.0000  0.0654  2 Al 2.68-2.76, 8 Ta 2.77-2.88
Al  0.9336  0.5000  0.7640  1 Al 2.72, 9 Ta 2.73-2.89

**Total moment**: 0.00 Bohr magnetons per cell
**VASP energy**: -10.4644 eV per atom

# 2
A relaxed structure of TaMo3. Source: Alexandria, functional GGA-PBEsol.

a b c (Å): 2.7525 4.4443 10.3726
angles (deg): 90.00 95.24 90.00
With the nearest neighbours (Å) after each atom.
Fractional coordinates of all 8 atoms:
Ta  0.1323  0.0000  0.3711  5 Mo 2.74, 3 Ta 2.75-2.83
Ta  0.8677  0.0000  0.6289  5 Mo 2.74, 3 Ta 2.75-2.83
Mo  0.0000  0.5000  0.0000  8 Mo 2.69-2.75
Mo  0.2521  0.5000  0.7555  6 Mo 2.69-2.80, 2 Ta 2.74
Mo  0.3797  0.0000  0.1215  7 Mo 2.66-2.75, 1 Ta 2.74
Mo  0.5000  0.5000  0.5000  4 Ta 2.74, 4 Mo 2.75-2.80
Mo  0.6203  0.0000  0.8785  7 Mo 2.66-2.75, 1 Ta 2.74
Mo  0.7479  0.5000  0.2445  6 Mo 2.69-2.80, 2 Ta 2.74

**Total moment**: 0.00 Bohr magnetons per cell
**VASP energy**: -12.0436 eV per atom

# 3
A relaxed structure of La3IrPb. Source: Alexandria, functional GGA-PBEsol.

a b c (Å): 7.7991 7.7991 5.6770
angles (deg): 90.00 90.00 120.00
With the nearest neighbours (Å) after each atom.
Fractional coordinates of all 10 atoms:
La  0.1203  0.3588  0.2500  2 Ir 2.85
La  0.2385  0.8797  0.2500  2 Ir 2.85
La  0.3588  0.2385  0.7500  2 Ir 2.85
La  0.6412  0.7615  0.2500  2 Ir 2.85
La  0.7615  0.1203  0.7500  2 Ir 2.85
La  0.8797  0.6412  0.7500  2 Ir 2.85
Ir  0.0000  0.0000  0.0000  2 Ir 2.84, 6 La 2.85
Ir  0.0000  0.0000  0.5000  2 Ir 2.84, 6 La 2.85
Pb  0.3333  0.6667  0.7500  9 La 3.44-3.55
Pb  0.6667  0.3333  0.2500  9 La 3.44-3.55

**ΔE to the lowest computed polymorph**: 0 meV per atom
**Total moment**: 0.00 Bohr magnetons per cell
**VASP energy**: -6.5826 eV per atom

# 4
A relaxed structure of BaZr2Co. Source: Alexandria, functional GGA-PBEsol.

a b c (Å): 4.9687 4.9687 3.3120
angles (deg): 90.00 90.00 90.00
With the nearest neighbours (Å) after each atom.
Fractional coordinates of all 4 atoms:
Ba  0.0000  0.0000  0.0000  8 Zr 2.99, 2 Ba 3.31
Zr  0.0000  0.5000  0.5000  4 Ba 2.99, 4 Co 2.99, 2 Zr 3.31
Zr  0.5000  0.0000  0.5000  4 Ba 2.99, 4 Co 2.99, 2 Zr 3.31
Co  0.5000  0.5000  0.0000  8 Zr 2.99, 2 Co 3.31

**ΔE to the lowest computed polymorph**: 42 meV per atom
**Total moment**: 0.00 Bohr magnetons per cell
**VASP energy**: -6.2185 eV per atom

Number 1: DFT formation energy -169 meV/atom. Number 2: DFT formation energy -80 meV/atom. Number 3: DFT formation energy -610 meV/atom. Number 4: DFT formation energy 798 meV/atom.